Computed, not measured: crystalline Sm3Tm12In at its relaxed geometry at the GGA-PBE level of DFT.

The structure in POSCAR format:
```
Sm3Tm12In
1.0
4.918 0.000 0.000
0.000 4.918 0.000
0.000 0.000 19.890
Tm Sm In
12 3 1
direct
0.500 0.000 0.880
0.500 0.000 0.627
0.000 0.500 0.120
0.500 0.500 0.757
0.000 0.500 0.880
0.000 0.500 0.627
0.500 0.500 0.243
0.500 0.500 0.500
0.500 0.500 0.000
0.500 0.000 0.120
0.000 0.500 0.373
0.500 0.000 0.373
0.000 0.000 0.248
0.000 0.000 0.752
0.000 0.000 0.500
0.000 0.000 0.000
```

Output
Formation energy (eV per formula unit): -0.6
Total DFT energy (no corrections) (eV/cell): -71.156
DOS(E_F) (states/eV per cell): 19.64
Space-group type: P4/mmm, No. 123